(1)
Here is a relaxed structure of K2AgO2 from OQMD via LeMat-Bulk. Energies are from PBE.

## Properties
energy above the most stable polymorph in this dataset: 0.10 eV/f.u.

Unit cell a=3.420 b=5.094 c=5.706 alpha=75.88 beta=89.99 gamma=109.62
Element x y z (fractional)
O 0.889 0.778 0.210
O 0.111 0.222 0.790
K 0.832 0.663 0.692
K 0.168 0.337 0.308
Ag 0.500 0.000 0.000



(2)
Here is a relaxed structure of TbYGe from OQMD via LeMat-Bulk. Energies are from PBE.

## Properties
energy above the most stable polymorph in this dataset: 0.35 eV/f.u.

Unit cell a=5.087 b=5.087 c=6.491 alpha=90.00 beta=90.00 gamma=120.00
Element x y z (fractional)
Y 0.000 0.000 0.235
Tb 0.667 0.333 0.488
Tb 0.333 0.667 0.988
Y 0.000 0.000 0.735
Ge 0.667 0.333 0.987
Ge 0.333 0.667 0.487



(3)
Here is a relaxed structure of DyInGe from OQMD via LeMat-Bulk. Energies are from PBE.

Unit cell a=7.593 b=7.593 c=4.205 alpha=90.00 beta=90.00 gamma=120.00
Element x y z (fractional)
In 0.000 0.732 0.000
Dy 0.000 0.387 0.500
Dy 0.613 0.613 0.500
In 0.732 0.000 0.000
In 0.268 0.268 0.000
Ge 0.000 0.000 0.500
Dy 0.387 0.000 0.500
Ge 0.667 0.333 0.000
Ge 0.333 0.667 0.000



(4)
Here is a relaxed structure of CuAg3 from OQMD via LeMat-Bulk. Energies are from PBE.

Unit cell a=6.394 b=6.394 c=4.031 alpha=90.00 beta=90.00 gamma=126.38
Element x y z (fractional)
Cu 0.121 0.879 0.000
Ag 0.241 0.241 0.500
Ag 0.000 0.500 0.500
Ag 0.372 0.628 0.000
Cu 0.879 0.121 0.000
Ag 0.500 0.000 0.500
Ag 0.628 0.372 0.000
Ag 0.759 0.759 0.500



(5)
Here is a relaxed structure of LuInRe from OQMD via LeMat-Bulk. Energies are from PBE.

Unit cell a=4.664 b=4.664 c=4.664 alpha=60.00 beta=60.00 gamma=60.00
Element x y z (fractional)
In 0.250 0.250 0.250
Lu 0.750 0.750 0.750
Re 0.000 0.000 0.000



(6)
Here is a relaxed structure of HfInHg from OQMD via LeMat-Bulk. Energies are from PBE.

## Properties
energy above the most stable polymorph in this dataset: 0.00 eV/f.u.

Unit cell a=4.686 b=4.686 c=4.686 alpha=60.00 beta=60.00 gamma=60.00
Element x y z (fractional)
In 0.750 0.750 0.750
Hf 0.250 0.250 0.250
Hg 0.000 0.000 0.000



(7)
Here is a relaxed structure of SmBi from OQMD via LeMat-Bulk. Energies are from PBE.

## Properties
energy above the most stable polymorph in this dataset: 1.08 eV/f.u.

Unit cell a=5.065 b=5.065 c=5.065 alpha=60.00 beta=60.00 gamma=60.00
Element x y z (fractional)
Sm 0.250 0.250 0.250
Bi 0.000 0.000 0.000



(8)
Here is a relaxed structure of GePdNO from OQMD via LeMat-Bulk. Energies are from PBE.

## Properties
energy above the most stable polymorph in this dataset: 2.12 eV/f.u.

Unit cell a=3.823 b=3.823 c=8.003 alpha=90.00 beta=90.00 gamma=90.00
Element x y z (fractional)
O 0.250 0.750 0.000
N 0.250 0.250 0.601
O 0.750 0.250 0.000
Ge 0.750 0.750 0.879
Pd 0.750 0.250 0.500
Pd 0.250 0.750 0.500
N 0.750 0.750 0.399
Ge 0.250 0.250 0.121



(9)
Here is a relaxed structure of Ba4Ir3O10 from OQMD via LeMat-Bulk. Energies are from PBE.

Unit cell a=5.753 b=13.208 c=7.282 alpha=90.00 beta=112.56 gamma=90.00
Element x y z (fractional)
Ba 0.536 0.137 0.082
Ir 0.000 0.000 0.000
Ir 0.870 0.150 0.755
O 0.773 0.655 0.537
Ba 0.735 0.386 0.480
Ba 0.765 0.886 0.520
O 0.339 0.975 0.229
O 0.839 0.525 0.229
O 0.430 0.774 0.234
O 0.365 0.539 0.214
O 0.030 0.151 0.073
O 0.530 0.349 0.073
O 0.727 0.155 0.463
O 0.661 0.025 0.771
O 0.970 0.849 0.927
O 0.135 0.039 0.786
Ir 0.130 0.850 0.245
O 0.273 0.845 0.537
O 0.635 0.461 0.786
O 0.865 0.961 0.214
O 0.161 0.475 0.771
Ba 0.235 0.114 0.480
O 0.070 0.274 0.766
Ba 0.036 0.363 0.082
O 0.470 0.651 0.927
O 0.570 0.226 0.766
Ba 0.265 0.614 0.520
Ir 0.630 0.650 0.245
Ir 0.370 0.350 0.755
Ba 0.964 0.637 0.918
Ir 0.500 0.500 0.000
O 0.930 0.726 0.234
Ba 0.464 0.863 0.918
O 0.227 0.345 0.463



(10)
Here is a relaxed structure of YInCuRe from OQMD via LeMat-Bulk. Energies are from PBE.

## Properties
energy above the most stable polymorph in this dataset: 0.00 eV/f.u.

Unit cell a=4.757 b=4.757 c=4.757 alpha=60.00 beta=60.00 gamma=60.00
Element x y z (fractional)
In 0.000 0.000 0.000
Re 0.250 0.250 0.250
Y 0.500 0.500 0.500
Cu 0.750 0.750 0.750



(11)
Here is a relaxed structure of ZnCu2Si2 from OQMD via LeMat-Bulk. Energies are from PBE.

Unit cell a=6.048 b=6.048 c=6.048 alpha=145.80 beta=145.80 gamma=49.14
Element x y z (fractional)
Zn 0.000 0.000 0.000
Cu 0.394 0.394 0.000
Si 0.250 0.750 0.500
Si 0.750 0.250 0.500
Cu 0.606 0.606 0.000



(12)
Here is a relaxed structure of Ac2Au17 from OQMD via LeMat-Bulk. Energies are from PBE.

Unit cell a=7.356 b=7.356 c=7.356 alpha=82.59 beta=82.59 gamma=82.59
Element x y z (fractional)
Au 0.899 0.899 0.899
Au 0.841 0.354 0.354
Au 0.354 0.354 0.841
Au 0.698 0.302 0.000
Ac 0.665 0.665 0.665
Ac 0.335 0.335 0.335
Au 0.646 0.159 0.646
Au 0.302 0.000 0.698
Au 0.000 0.500 0.000
Au 0.101 0.101 0.101
Au 0.354 0.841 0.354
Au 0.000 0.698 0.302
Au 0.000 0.302 0.698
Au 0.159 0.646 0.646
Au 0.698 0.000 0.302
Au 0.646 0.646 0.159
Au 0.000 0.000 0.500
Au 0.500 0.000 0.000
Au 0.302 0.698 0.000



(13)
Here is a relaxed structure of NbTl2S3 from OQMD via LeMat-Bulk. Energies are from PBE.

Unit cell a=8.025 b=3.572 c=10.329 alpha=90.00 beta=100.08 gamma=90.00
Element x y z (fractional)
Tl 0.424 0.750 0.328
Nb 0.916 0.250 0.356
S 0.352 0.750 0.801
Tl 0.246 0.250 0.993
S 0.037 0.750 0.228
Tl 0.576 0.250 0.672
Tl 0.754 0.750 0.007
S 0.199 0.250 0.509
Nb 0.084 0.750 0.644
S 0.963 0.250 0.772
S 0.801 0.750 0.491
S 0.648 0.250 0.199



(14)
Here is a relaxed structure of ScNiBiPt from OQMD via LeMat-Bulk. Energies are from PBE.

## Properties
energy above the most stable polymorph in this dataset: 0.49 eV/f.u.

Unit cell a=4.692 b=4.692 c=4.692 alpha=60.00 beta=60.00 gamma=60.00
Element x y z (fractional)
Bi 0.000 0.000 0.000
Ni 0.750 0.750 0.750
Pt 0.500 0.500 0.500
Sc 0.250 0.250 0.250



(15)
Here is a relaxed structure of Hf2ReAs from OQMD via LeMat-Bulk. Energies are from PBE.

Unit cell a=4.646 b=4.646 c=4.646 alpha=60.00 beta=60.00 gamma=60.00
Element x y z (fractional)
As 0.500 0.500 0.500
Hf 0.000 0.000 0.000
Hf 0.750 0.750 0.750
Re 0.250 0.250 0.250



(16)
Here is a relaxed structure of TaAlCd2 from OQMD via LeMat-Bulk. Energies are from PBE.

Unit cell a=4.740 b=4.740 c=4.740 alpha=60.00 beta=60.00 gamma=60.00
Element x y z (fractional)
Al 0.500 0.500 0.500
Cd 0.000 0.000 0.000
Cd 0.750 0.750 0.750
Ta 0.250 0.250 0.250



(17)
Here is a relaxed structure of PaSiTc from OQMD via LeMat-Bulk. Energies are from PBE.

## Properties
energy above the most stable polymorph in this dataset: 2.31 eV/f.u.

Unit cell a=4.423 b=4.423 c=4.423 alpha=60.00 beta=60.00 gamma=60.00
Element x y z (fractional)
Si 0.000 0.000 0.000
Pa 0.250 0.250 0.250
Tc 0.750 0.750 0.750



(18)
Here is a relaxed structure of HfBiNO from OQMD via LeMat-Bulk. Energies are from PBE.

## Properties
energy above the most stable polymorph in this dataset: 1.89 eV/f.u.

Unit cell a=4.222 b=4.222 c=8.677 alpha=90.00 beta=90.00 gamma=90.00
Element x y z (fractional)
N 0.500 0.000 0.286
Hf 0.500 0.000 0.071
Hf 0.000 0.500 0.929
Bi 0.000 0.000 0.500
O 0.500 0.500 0.000
Bi 0.500 0.500 0.500
N 0.000 0.500 0.714
O 0.000 0.000 0.000



(19)
Here is a relaxed structure of Li2ZnCdGa2Pd2 from OQMD via LeMat-Bulk. Energies are from PBE.

Unit cell a=4.396 b=4.396 c=6.268 alpha=90.00 beta=90.00 gamma=90.00
Element x y z (fractional)
Ga 0.500 0.500 0.000
Pd 0.500 0.000 0.731
Zn 0.500 0.500 0.500
Li 0.000 0.500 0.737
Cd 0.000 0.000 0.000
Ga 0.000 0.000 0.500
Li 0.500 0.000 0.263
Pd 0.000 0.500 0.269



(20)
Here is a relaxed structure of SmErB4 from OQMD via LeMat-Bulk. Energies are from PBE.

## Properties
energy above the most stable polymorph in this dataset: 0.10 eV/f.u.

Unit cell a=5.127 b=5.127 c=5.127 alpha=142.43 beta=112.14 gamma=80.24
Element x y z (fractional)
B 0.585 0.251 0.333
B 0.918 0.251 0.667
B 0.082 0.749 0.333
Er 0.000 0.000 0.000
Sm 0.500 0.500 0.000
B 0.415 0.749 0.667



Computed total energy, in the same sequence as the records: -3.757 -5.757 -4.458 -2.978 -6.036 -4.082 -4.787 -5.608 -6.651 -6.022 -3.713 -3.689 -5.168 -5.852 -9.155 -3.878 -8.326 -7.768 -3.279 -6.488 eV per atom.